BaSrCu2: relaxed, PBEsol.

```
data_BaSrCu2
_chemical_formula_sum 'Ba4 Sr4 Cu8'
_space_group_name_H-M_alt 'F m -3 m'
_space_group_IT_number 225
_space_group_name_Hall '-F 4 2 3'
_cell_length_a 7.551
_cell_length_b 7.551
_cell_length_c 7.551
_cell_angle_alpha 90.00
_cell_angle_beta 90.00
_cell_angle_gamma 90.00
loop_
_atom_site_label
_atom_site_type_symbol
_atom_site_fract_x
_atom_site_fract_y
_atom_site_fract_z
_atom_site_occupancy
Ba1 Ba 0.000 0.000 0.000 1
Sr1 Sr 0.000 0.000 0.500 1
Cu1 Cu 0.250 0.250 0.250 1
```

N(E_F) = 12.3 states/eV per cell
ΔH_f (0 K) = 0.12 eV/atom
VASP energy = -3.04 eV per atom